No. 1
The following is a DFT calculation (GGA-PBE) of a geometry-optimized ZnSi2Tc2 structure.

a b c (Å): 3.4061 3.4061 12.6320
angles (deg): 90.00 90.00 90.00
Space group I4/mmm (No. 139)
Unique sites:
Zn 0.0000 0.0000 0.0000 x2
Si 0.0000 0.5000 0.2500 x4
Tc 0.0000 0.0000 0.3923 x4

ΔE_f (raw): -163 meV/atom

=====

No. 2
The following is a DFT calculation (GGA-PBE) of a geometry-optimized ZnSiTc2 structure.

a b c (Å): 2.7914 2.7914 25.7755
angles (deg): 90.00 90.00 120.00
Space group R3m (No. 160, hexagonal axes)
Unique sites:
Zn 0.0000 0.0000 0.0000 x3
Si 0.0000 0.0000 0.7529 x3
Tc 0.0000 0.0000 0.2461 x3
Tc 0.0000 0.0000 0.4989 x3

ΔE_f (raw): -17 meV/atom

=====

No. 3
The following is a DFT calculation (GGA-PBE) of a geometry-optimized ZnSiTc2 structure.

a b c (Å): 2.7445 4.1549 11.2320
angles (deg): 90.00 90.00 90.00
Space group Immm (No. 71)
Unique sites:
Zn 0.0000 0.0000 0.0000 x2
Si 0.0000 0.0000 0.5000 x2
Tc 0.0000 0.0000 0.2920 x4

ΔE_f (raw): 454 meV/atom

=====

No. 4
The following is a DFT calculation (GGA-PBE) of a geometry-optimized ZnSiTc2 structure.

a b c (Å): 6.8278 6.8278 5.2155
angles (deg): 90.00 90.00 90.00
Space group I-42d (No. 122)
Unique sites:
Zn 0.0000 0.0000 0.0000 x4
Si 0.0000 0.0000 0.5000 x4
Tc 0.2154 0.2500 0.6250 x8

ΔE_f (raw): 324 meV/atom

=====

No. 5
The following is a DFT calculation (GGA-PBE) of a geometry-optimized Zn2SiTc structure.

a b c (Å): 9.8939 2.6998 4.3096
angles (deg): 90.00 96.83 90.00
Space group C2/m (No. 12)
Unique sites:
Zn 0.2380 0.0000 0.2446 x4
Si 0.0000 0.0000 0.5000 x2
Tc 0.0000 0.5000 0.0000 x2

ΔE_f (raw): -12 meV/atom

=====

No. 6
The following is a DFT calculation (GGA-PBE) of a geometry-optimized ZnSi2Tc2 structure.

a b c (Å): 6.7809 6.7809 3.1092
angles (deg): 90.00 90.00 90.00
Space group P4/mbm (No. 127)
Unique sites:
Zn 0.0000 0.0000 0.0000 x2
Si 0.1429 0.3571 0.5000 x4
Tc 0.1511 0.6511 0.0000 x4

ΔE_f (raw): -290 meV/atom